ZnGa2S4: optimized geometry, PBEsol.

Uncorrected formation energy in eV/atom: -0.67
Total magnetic moment in μB per formula unit: 0.00
Calculated density in g/cm3: 3.92
DFT total energy in eV per cell: -30.50

Cell: 3.6528 3.6528 12.3875 Å, 81.52 81.52 60.00°
Positions (direct):
1 S 0.8776 0.8776 0.3671
2 S 0.2987 0.2987 0.1040
3 S 0.7013 0.7013 0.8960
4 S 0.1224 0.1224 0.6329
5 Ga 0.7612 0.7612 0.7165
6 Zn 0.0000 0.0000 0.0000
7 Ga 0.2388 0.2388 0.2835